# RbMg2TaTe

A relaxed RbMg2TaTe crystal (PBE-GGA, Alexandria via LeMat-Bulk).

Unit cell a=5.822 b=5.268 c=5.822 alpha=90.00 beta=90.00 gamma=90.00
Fractional coordinates of all 5 atoms:
1 Te 0.000 0.000 0.000
2 Mg 0.500 0.000 0.000
3 Mg 0.000 0.000 0.500
4 Rb 0.500 0.500 0.500
5 Ta 0.000 0.500 0.000

Computed properties:
SG = No. 123
uncorrected energy = -2.91 eV/atom
density of states at the Fermi level = 5.464 states/eV per cell
M_tot = 1.62 μB per formula unit